# Y3ScPd (PBE, optimized geometry)
data_Y3ScPd
_chemical_formula_sum 'Y12 Sc4 Pd4'
_symmetry_space_group_name_H-M 'C 1 2/m 1'
_symmetry_Int_Tables_number 12
_symmetry_space_group_name_Hall '-C 2y'
_cell_length_a 11.2646
_cell_length_b 8.5544
_cell_length_c 7.7101
_cell_angle_alpha 90.00
_cell_angle_beta 128.99
_cell_angle_gamma 90.00
loop_
_atom_site_label
_atom_site_type_symbol
_atom_site_fract_x
_atom_site_fract_y
_atom_site_fract_z
Y1 Y 0.0392 0.0000 0.3103
Y2 Y 0.2095 0.3020 0.7353
Sc1 Sc 0.0700 0.5000 0.2670
Pd1 Pd 0.2243 0.5000 0.0848
# - V: 28.873 Å³ per atom
# - Calculated formation energy: -0.257 eV per atom
# - Raw total energy: -6.440 eV/atom